Entry A
The following is a DFT calculation (PBE) of a relaxed Tm2NiPd crystal.

Calculated values
As for the total moment: 0.00 μB/atom.

Lattice parameters (Å, degrees): 5.473 4.302 7.421 90.00 110.13 90.00
Positions (direct):
Tm (0.216, 0.250, 0.434)
Tm (0.226, 0.250, 0.927)
Tm (0.774, 0.750, 0.073)
Tm (0.784, 0.750, 0.566)
Ni (0.340, 0.750, 0.708)
Ni (0.660, 0.250, 0.292)
Pd (0.336, 0.750, 0.211)
Pd (0.664, 0.250, 0.789)

Entry B
The following is a DFT calculation (PBE) of a relaxed Tm2NiPd crystal.

Calculated values
As for the total moment: 0.00 μB/atom.

Lattice parameters (Å, degrees): 6.934 6.934 6.934 32.80 32.80 32.80
Positions (direct):
Tm (0.244, 0.244, 0.244)
Tm (0.756, 0.756, 0.756)
Ni (0.500, 0.500, 0.500)
Pd (0.000, 0.000, 0.000)

Entry C
The following is a DFT calculation (PBE) of a relaxed Tm2NiPd crystal.

Calculated values
As for the total moment: 0.00 μB/atom.

Lattice parameters (Å, degrees): 3.389 3.389 6.838 90.00 90.00 90.00
Positions (direct):
Tm (0.000, 0.000, 0.240)
Tm (0.000, 0.000, 0.760)
Ni (0.500, 0.500, 0.000)
Pd (0.500, 0.500, 0.500)

Result of the stability comparison: entry B is the least stable of them.

Entry A
The following is a DFT calculation (PBE) of a relaxed Tm4Ni2Pd crystal.

Calculated values
As for the total moment: 0.00 μB/atom.

Lattice parameters (Å, degrees): 7.332 7.332 7.330 108.92 108.92 110.55
Positions (direct):
Tm (0.002, 0.998, 0.500)
Tm (0.113, 0.487, 0.876)
Tm (0.373, 0.877, 0.747)
Tm (0.483, 0.609, 0.369)
Tm (0.487, 0.113, 0.376)
Tm (0.609, 0.483, 0.869)
Tm (0.877, 0.373, 0.247)
Tm (0.998, 0.002, 0.000)
Ni (0.119, 0.743, 0.249)
Ni (0.242, 0.366, 0.497)
Ni (0.366, 0.242, 0.997)
Ni (0.743, 0.119, 0.749)
Pd (0.618, 0.867, 0.123)
Pd (0.867, 0.618, 0.623)

Entry B
The following is a DFT calculation (PBE) of a relaxed Tm4Ni2Pd crystal.

Calculated values
As for the total moment: 0.00 μB/atom.

Lattice parameters (Å, degrees): 8.180 8.180 8.180 33.79 33.79 33.79
Positions (direct):
Tm (0.122, 0.122, 0.122)
Tm (0.373, 0.373, 0.373)
Tm (0.627, 0.627, 0.627)
Tm (0.878, 0.878, 0.878)
Ni (0.249, 0.249, 0.249)
Ni (0.751, 0.751, 0.751)
Pd (0.500, 0.500, 0.500)

Result of the stability comparison: entry B is the least stable of them.

Entry A
The following is a DFT calculation (PBE) of a relaxed Tm7Ni2Pd2 crystal.

Calculated values
As for the total moment: 0.00 μB/atom.

Lattice parameters (Å, degrees): 9.084 9.084 9.084 156.79 66.83 118.31
Positions (direct):
Tm (0.000, 0.000, 0.000)
Tm (0.273, 0.390, 0.883)
Tm (0.289, 0.595, 0.694)
Tm (0.508, 0.390, 0.117)
Tm (0.612, 0.240, 0.372)
Tm (0.868, 0.240, 0.628)
Tm (0.900, 0.595, 0.306)
Ni (0.130, 0.889, 0.241)
Ni (0.649, 0.889, 0.759)
Pd (0.228, 0.728, 0.500)
Pd (0.635, 0.635, 0.000)

Entry B
The following is a DFT calculation (PBE) of a relaxed Tm7Ni2Pd2 crystal.

Calculated values
As for the total moment: 0.00 μB/atom.

Lattice parameters (Å, degrees): 6.483 6.483 6.747 90.00 90.00 108.43
Positions (direct):
Tm (0.000, 0.000, 0.000)
Tm (0.000, 0.500, 0.257)
Tm (0.000, 0.500, 0.743)
Tm (0.500, 0.000, 0.257)
Tm (0.500, 0.000, 0.743)
Tm (0.500, 0.500, 0.252)
Tm (0.500, 0.500, 0.748)
Ni (0.288, 0.712, 0.000)
Ni (0.712, 0.288, 0.000)
Pd (0.191, 0.191, 0.500)
Pd (0.809, 0.809, 0.500)

Result of the stability comparison: entry B is the least stable of them.

Entry A
The following is a DFT calculation (PBE) of a relaxed VNiPd2 crystal.

Calculated values
As for the total moment: 0.29 μB/atom.

Lattice parameters (Å, degrees): 4.285 4.285 4.285 60.00 60.00 60.00
Positions (direct):
V (0.000, 0.000, 0.000)
Ni (0.500, 0.500, 0.500)
Pd (0.250, 0.250, 0.250)
Pd (0.750, 0.750, 0.750)

Entry B
The following is a DFT calculation (PBE) of a relaxed VNiPd2 crystal.

Calculated values
As for the total moment: 0.31 μB/atom.

Lattice parameters (Å, degrees): 3.840 3.840 3.745 90.00 90.00 90.00
Positions (direct):
V (0.000, 0.000, 0.000)
Ni (0.500, 0.500, 0.000)
Pd (0.000, 0.500, 0.500)
Pd (0.500, 0.000, 0.500)

Result of the stability comparison: entry A is the least stable of them.

Entry A
The following is a DFT calculation (PBE) of a relaxed VNiPd2 crystal.

Calculated values
As for the total moment: 0.19 μB/atom.

Lattice parameters (Å, degrees): 3.204 3.204 5.442 90.00 90.00 90.00
Positions (direct):
V (0.000, 0.000, 0.000)
Ni (0.000, 0.000, 0.500)
Pd (0.500, 0.500, 0.251)
Pd (0.500, 0.500, 0.749)

Entry B
The following is a DFT calculation (PBE) of a relaxed VNiPd2 crystal.

Calculated values
As for the total moment: 0.11 μB/atom.

Lattice parameters (Å, degrees): 8.767 8.767 8.767 17.89 17.89 17.89
Positions (direct):
V (0.000, 0.000, 0.000)
Ni (0.834, 0.834, 0.834)
Pd (0.416, 0.416, 0.416)
Pd (0.584, 0.584, 0.584)

Result of the stability comparison: entry B is the least stable of them.

Entry A
The following is a DFT calculation (PBE) of a relaxed VNiPd2 crystal.

Calculated values
As for the total moment: 0.00 μB/atom.

Lattice parameters (Å, degrees): 4.821 4.821 4.399 110.05 110.05 35.37
Positions (direct):
V (0.000, 0.000, 0.000)
Ni (0.295, 0.295, 0.722)
Pd (0.538, 0.538, 0.524)
Pd (0.759, 0.759, 0.193)

Entry B
The following is a DFT calculation (PBE) of a relaxed VNiPd2 crystal.

Calculated values
As for the total moment: 0.00 μB/atom.

Lattice parameters (Å, degrees): 4.628 4.628 5.376 90.00 90.00 71.44
Positions (direct):
V (0.231, 0.769, 0.750)
V (0.769, 0.231, 0.250)
Ni (0.229, 0.771, 0.250)
Ni (0.771, 0.229, 0.750)
Pd (0.260, 0.260, 0.000)
Pd (0.260, 0.260, 0.500)
Pd (0.740, 0.740, 0.000)
Pd (0.740, 0.740, 0.500)

Entry C
The following is a DFT calculation (PBE) of a relaxed VNiPd2 crystal.

Calculated values
As for the total moment: 0.26 μB/atom.

Lattice parameters (Å, degrees): 5.462 5.462 5.462 103.64 103.64 121.89
Positions (direct):
V (0.000, 0.000, 0.000)
V (0.750, 0.250, 0.500)
Ni (0.250, 0.750, 0.500)
Ni (0.500, 0.500, 0.000)
Pd (0.118, 0.625, 0.993)
Pd (0.375, 0.368, 0.493)
Pd (0.632, 0.125, 0.007)
Pd (0.875, 0.882, 0.507)

Result of the stability comparison: entry C is the least stable of them.